DFT (PBE) results for crystalline HfMn2CrIn at its relaxed geometry.

Lattice parameters (Å, degrees): 4.754 4.754 4.873 90.00 90.00 90.00
Fractional positions:
1 Hf 0.000 0.000 0.000
2 Mn 0.000 0.500 0.000
3 Mn 0.500 0.000 0.000
4 Cr 0.000 0.000 0.500
5 In 0.500 0.500 0.500

Output
Total DFT energy (no corrections) (eV/cell): -34.038
V (Å³/f.u.): 110.1
Crystal system: tetragonal
ΔE_f (meV/atom): 1323

***

DFT (PBE) results for crystalline P7C at its relaxed geometry.

Lattice parameters (Å, degrees): 5.361 5.361 5.361 60.00 60.00 60.00
Fractional positions:
1 P 0.000 0.000 0.000
2 P 0.000 0.000 0.500
3 P 0.000 0.500 0.000
4 P 0.000 0.500 0.500
5 P 0.500 0.000 0.000
6 P 0.500 0.000 0.500
7 P 0.500 0.500 0.000
8 C 0.500 0.500 0.500

Output
Total DFT energy (no corrections) (eV/cell): -36.162
V (Å³/f.u.): 108.9
Crystal system: cubic
ΔE_f (meV/atom): 1366